[1]
VASP calculation (SCAN) on a crystal of LiBe3Re relaxed with PBEsol.

```
data_LiBe3Re
_chemical_formula_sum 'Li1 Be3 Re1'
_space_group_name_H-M_alt 'P m -3 m'
_space_group_IT_number 221
_space_group_name_Hall '-P 4 2 3'
_cell_length_a 3.6346
_cell_length_b 3.6346
_cell_length_c 3.6346
_cell_angle_alpha 90.00
_cell_angle_beta 90.00
_cell_angle_gamma 90.00
loop_
_atom_site_label
_atom_site_type_symbol
_atom_site_fract_x
_atom_site_fract_y
_atom_site_fract_z
_atom_site_occupancy
Li1 Li 0.0000 0.0000 0.0000 1
Be1 Be 0.0000 0.0000 0.5000 1
Re1 Re 0.5000 0.5000 0.5000 1
```

## Properties
The formation energy comes out at 422.6 kJ/mol of formula units. The calculated volume comes out at 48.0 Å³/cell.


[2]
VASP calculation (SCAN) on a crystal of LiBeRe2 relaxed with PBEsol.

```
data_LiBeRe2
_chemical_formula_sum 'Li2 Be2 Re4'
_space_group_name_H-M_alt 'C 1 2/m 1'
_space_group_IT_number 12
_cell_length_a 5.0911
_cell_length_b 8.1679
_cell_length_c 2.5522
_cell_angle_alpha 90.00
_cell_angle_beta 107.09
_cell_angle_gamma 90.00
loop_
_space_group_symop_operation_xyz
'x,y,z'
'-x,-y,-z'
'-x,y,-z'
'x,-y,z'
'x+1/2,y+1/2,z'
'-x+1/2,-y+1/2,-z'
'-x+1/2,y+1/2,-z'
'x+1/2,-y+1/2,z'
loop_
_atom_site_label
_atom_site_type_symbol
_atom_site_fract_x
_atom_site_fract_y
_atom_site_fract_z
_atom_site_occupancy
Li1 Li 0.0000 0.0000 0.0000 1
Be1 Be 0.0000 0.5000 0.0000 1
Re1 Re 0.2500 0.2500 0.5000 1
```

## Properties
The formation energy comes out at 82.7 kJ/mol of formula units. The calculated volume comes out at 101.4 Å³/cell.


[3]
VASP calculation (SCAN) on a crystal of LiBeRe3 relaxed with PBEsol.

```
data_LiBeRe3
_chemical_formula_sum 'Li1 Be1 Re3'
_space_group_name_H-M_alt 'P m -3 m'
_space_group_IT_number 221
_space_group_name_Hall '-P 4 2 3'
_cell_length_a 4.1116
_cell_length_b 4.1116
_cell_length_c 4.1116
_cell_angle_alpha 90.00
_cell_angle_beta 90.00
_cell_angle_gamma 90.00
loop_
_atom_site_label
_atom_site_type_symbol
_atom_site_fract_x
_atom_site_fract_y
_atom_site_fract_z
_atom_site_occupancy
Li1 Li 0.0000 0.0000 0.0000 1
Be1 Be 0.5000 0.5000 0.5000 1
Re1 Re 0.0000 0.5000 0.5000 1
```

## Properties
The formation energy comes out at 500.6 kJ/mol of formula units. The calculated volume comes out at 69.5 Å³/cell.


[4]
VASP calculation (SCAN) on a crystal of LiBeRh2 relaxed with PBEsol.

```
data_LiBeRh2
_chemical_formula_sum 'Li3 Be3 Rh6'
_space_group_name_H-M_alt 'R 3 m'
_space_group_IT_number 160
_space_group_name_Hall 'R 3 -2"'
_cell_length_a 2.6410
_cell_length_b 2.6410
_cell_length_c 25.2486
_cell_angle_alpha 90.00
_cell_angle_beta 90.00
_cell_angle_gamma 120.00
loop_
_atom_site_label
_atom_site_type_symbol
_atom_site_fract_x
_atom_site_fract_y
_atom_site_fract_z
_atom_site_occupancy
Li1 Li 0.0000 0.0000 0.0000 1
Be1 Be 0.0000 0.0000 0.7583 1
Rh1 Rh 0.0000 0.0000 0.2495 1
Rh2 Rh 0.0000 0.0000 0.4939 1
```

## Properties
The formation energy comes out at -25.4 kJ/mol of formula units. The calculated volume comes out at 152.5 Å³/cell.


[5]
VASP calculation (SCAN) on a crystal of LiBeRh relaxed with PBEsol.

```
data_LiBeRh
_chemical_formula_sum 'Li4 Be4 Rh4'
_space_group_name_H-M_alt 'F -4 3 m'
_space_group_IT_number 216
_space_group_name_Hall 'F -4 2 3'
_cell_length_a 5.2002
_cell_length_b 5.2002
_cell_length_c 5.2002
_cell_angle_alpha 90.00
_cell_angle_beta 90.00
_cell_angle_gamma 90.00
loop_
_atom_site_label
_atom_site_type_symbol
_atom_site_fract_x
_atom_site_fract_y
_atom_site_fract_z
_atom_site_occupancy
Li1 Li 0.0000 0.0000 0.0000 1
Be1 Be 0.2500 0.2500 0.7500 1
Rh1 Rh 0.0000 0.0000 0.5000 1
```

## Properties
The formation energy comes out at -38.4 kJ/mol of formula units. The calculated volume comes out at 140.6 Å³/cell.


[6]
VASP calculation (SCAN) on a crystal of LiBeRh2 relaxed with PBEsol.

```
data_LiBeRh2
_chemical_formula_sum 'Li2 Be2 Rh4'
_space_group_name_H-M_alt 'I m m m'
_space_group_IT_number 71
_space_group_name_Hall '-I 2 2'
_cell_length_a 2.7142
_cell_length_b 4.4312
_cell_length_c 7.9775
_cell_angle_alpha 90.00
_cell_angle_beta 90.00
_cell_angle_gamma 90.00
loop_
_atom_site_label
_atom_site_type_symbol
_atom_site_fract_x
_atom_site_fract_y
_atom_site_fract_z
_atom_site_occupancy
Li1 Li 0.0000 0.0000 0.0000 1
Be1 Be 0.0000 0.0000 0.5000 1
Rh1 Rh 0.0000 0.5000 0.2231 1
```

## Properties
The formation energy comes out at -137.8 kJ/mol of formula units. The calculated volume comes out at 95.9 Å³/cell.